(1)
Below is an optimized crystal structure of SmPu2Te4, with properties calculated at the GGA-PBE level.

a = 4.325 Å, b = 14.458 Å, c = 15.153 Å
α = 90.00°, β = 90.00°, γ = 90.00°
Space group Cmcm (No. 63)
Inequivalent atoms, fractional coordinates:
1 Sm 0.000 0.119 0.250 x4
2 Pu 0.000 0.365 0.067 x8
3 Te 0.000 0.000 0.000 x4
4 Te 0.000 0.278 0.625 x8
5 Te 0.000 0.462 0.250 x4

Calculated values
DOS at the Fermi energy   100.4 states/eV per cell
Total energy   -7.713 eV per atom
Crystal system   orthorhombic
Formation energy without anion corrections   -1.149 eV per atom

(2)
Below is an optimized crystal structure of Na8B11C5, with properties calculated at the GGA-PBE level.

a = 2.8902 Å, b = 2.8902 Å, c = 34.1086 Å
α = 90.00°, β = 90.00°, γ = 120.00°
Space group P-6m2 (No. 187)
Inequivalent atoms, fractional coordinates:
1 Na 0.0000 0.0000 0.0615 x2
2 Na 0.0000 0.0000 0.1845 x2
3 Na 0.0000 0.0000 0.3081 x2
4 Na 0.0000 0.0000 0.4357 x2
5 B 0.3333 0.6667 0.0000 x1
6 B 0.3333 0.6667 0.2461 x2
7 B 0.3333 0.6667 0.3718 x2
8 B 0.3333 0.6667 0.5000 x1
9 B 0.6667 0.3333 0.1230 x2
10 B 0.6667 0.3333 0.3718 x2
11 B 0.6667 0.3333 0.5000 x1
12 C 0.3333 0.6667 0.1230 x2
13 C 0.6667 0.3333 0.0000 x1
14 C 0.6667 0.3333 0.2460 x2

Calculated values
DOS at the Fermi energy   5.5 states/eV per cell
Total energy   -5.276 eV per atom
Calculated formation energy   3.508 eV/f.u.
Crystal system   hexagonal

(3)
Below is an optimized crystal structure of HgPOsN2, with properties calculated at the GGA-PBE level.

a = 3.769 Å, b = 3.769 Å, c = 6.107 Å
α = 90.00°, β = 90.00°, γ = 90.00°
Space group P4/mmm (No. 123)
Inequivalent atoms, fractional coordinates:
1 Hg 0.000 0.000 0.000 x1
2 P 0.500 0.500 0.000 x1
3 Os 0.000 0.000 0.500 x1
4 N 0.000 0.500 0.500 x2

Calculated values
DOS at the Fermi energy   2.9 states/eV per cell
Total energy   -5.759 eV per atom
Crystal system   tetragonal
Formation energy without anion corrections   0.959 eV per atom

(4)
Below is an optimized crystal structure of Tb8Nd6Al, with properties calculated at the GGA-PBE level.

a = 9.5098 Å, b = 9.5098 Å, c = 6.3255 Å
α = 90.00°, β = 90.00°, γ = 120.00°
Space group P-3 (No. 147)
Inequivalent atoms, fractional coordinates:
1 Tb 0.0411 0.7837 0.3015 x6
2 Tb 0.3333 0.6667 0.3173 x2
3 Nd 0.0913 0.6381 0.8099 x6
4 Al 0.0000 0.0000 0.0000 x1

Calculated values
DOS at the Fermi energy   18.7 states/eV per cell
Total energy   -4.550 eV per atom
Calculated formation energy   1.147 eV/f.u.
Crystal system   trigonal